No. 1
Here is a relaxed structure of TcPtSe2 from the Alexandria database. Energies are from PBE.

Output
Calculated total energy ... -20.9 eV/f.u.
Uncorrected formation energy ... 0.63 eV/atom
D(E_F) ... 3.4 states/eV/f.u.
M_tot ... 1.25 μB per cell
E above lowest polymorph ... 18.45 kcal/mol of atoms

a = 4.595 Å, b = 4.595 Å, c = 4.595 Å
α = 60.00°, β = 60.00°, γ = 60.00°
Fractional coordinates of all 4 atoms:
Pt 0.500 0.500 0.500
Se 0.750 0.750 0.750
Se 0.000 0.000 0.000
Tc 0.250 0.250 0.250

---

No. 2
Here is a relaxed structure of TcPt2Se from the Alexandria database. Energies are from PBE.

Output
Calculated total energy ... -25.3 eV/f.u.
Uncorrected formation energy ... 0.16 eV/atom
D(E_F) ... 4.2 states/eV/f.u.
M_tot ... 0.00 μB per cell

a = 5.143 Å, b = 5.143 Å, c = 4.349 Å
α = 88.16°, β = 88.16°, γ = 34.33°
Fractional coordinates of all 4 atoms:
Tc 0.250 0.250 0.250
Pt 0.973 0.973 0.008
Pt 0.527 0.527 0.492
Se 0.750 0.750 0.750

---

No. 3
Here is a relaxed structure of TcPtSe2 from the Alexandria database. Energies are from PBE.

Output
Calculated total energy ... -22.0 eV/f.u.
Uncorrected formation energy ... 0.34 eV/atom
D(E_F) ... 4.4 states/eV/f.u.
M_tot ... 0.00 μB per cell
E above lowest polymorph ... 11.81 kcal/mol of atoms

a = 2.880 Å, b = 2.880 Å, c = 10.078 Å
α = 90.00°, β = 90.00°, γ = 116.27°
Fractional coordinates of all 4 atoms:
Pt 0.500 0.500 0.733
Se 0.000 0.000 0.952
Se 0.500 0.500 0.310
Tc 0.000 0.000 0.505

---

No. 4
Here is a relaxed structure of TcPtSe2 from the Alexandria database. Energies are from PBE.

Output
Calculated total energy ... -23.4 eV/f.u.
Uncorrected formation energy ... 0.00 eV/atom
D(E_F) ... 2.7 states/eV/f.u.
M_tot ... 0.00 μB per cell
E above lowest polymorph ... 4.02 kcal/mol of atoms

a = 3.262 Å, b = 3.672 Å, c = 6.559 Å
α = 90.00°, β = 90.00°, γ = 90.00°
Fractional coordinates of all 4 atoms:
Se 0.000 0.000 0.883
Se 0.500 0.500 0.358
Pt 0.500 0.500 0.750
Tc 0.000 0.000 0.510

---

No. 5
Here is a relaxed structure of TcPt2Se from the Alexandria database. Energies are from PBE.

Output
Calculated total energy ... -25.0 eV/f.u.
Uncorrected formation energy ... 0.23 eV/atom
D(E_F) ... 4.4 states/eV/f.u.
M_tot ... 0.00 μB per cell

a = 4.034 Å, b = 2.830 Å, c = 6.106 Å
α = 66.90°, β = 90.00°, γ = 90.00°
Fractional coordinates of all 4 atoms:
Pt 0.000 0.060 0.988
Pt 0.000 0.440 0.512
Se 0.500 0.250 0.250
Tc 0.500 0.750 0.750

---

No. 6
Here is a relaxed structure of TcPt2Se from the Alexandria database. Energies are from PBE.

Output
Calculated total energy ... -25.0 eV/f.u.
Uncorrected formation energy ... 0.23 eV/atom
D(E_F) ... 3.9 states/eV/f.u.
M_tot ... 1.13 μB per cell

a = 5.446 Å, b = 5.446 Å, c = 5.446 Å
α = 148.84°, β = 129.73°, γ = 60.34°
Fractional coordinates of all 4 atoms:
Pt 0.994 0.994 0.000
Pt 0.506 0.506 0.000
Tc 0.250 0.750 0.500
Se 0.750 0.250 0.500

---

No. 7
Here is a relaxed structure of TcPtSe2 from the Alexandria database. Energies are from PBE.

Output
Calculated total energy ... -23.3 eV/f.u.
Uncorrected formation energy ... 0.02 eV/atom
D(E_F) ... 3.7 states/eV/f.u.
M_tot ... 0.59 μB per cell
E above lowest polymorph ... 4.59 kcal/mol of atoms

a = 5.216 Å, b = 5.216 Å, c = 6.009 Å
α = 83.99°, β = 83.99°, γ = 35.11°
Fractional coordinates of all 4 atoms:
Pt 0.186 0.186 0.398
Se 0.815 0.815 0.636
Se 0.030 0.030 0.082
Tc 0.469 0.469 0.384

---

No. 8
Here is a relaxed structure of TcPt2Se from the Alexandria database. Energies are from PBE.

Output
Calculated total energy ... -25.6 eV/f.u.
Uncorrected formation energy ... 0.07 eV/atom
D(E_F) ... 4.6 states/eV/f.u.
M_tot ... 0.00 μB per cell

a = 8.838 Å, b = 8.838 Å, c = 8.838 Å
α = 19.03°, β = 19.03°, γ = 19.03°
Fractional coordinates of all 4 atoms:
Pt 0.004 0.004 0.004
Pt 0.249 0.249 0.249
Tc 0.755 0.755 0.755
Se 0.491 0.491 0.491

---

No. 9
Here is a relaxed structure of TcPtSe4 from the Alexandria database. Energies are from PBE.

Output
Calculated total energy ... -23.3 eV/f.u.
Uncorrected formation energy ... 1.17 eV/atom
D(E_F) ... 6.4 states/eV/f.u.
M_tot ... 4.16 μB per cell
E above lowest polymorph ... 32.42 kcal/mol of atoms

a = 5.554 Å, b = 5.554 Å, c = 5.554 Å
α = 60.00°, β = 60.00°, γ = 60.00°
Fractional coordinates of all 6 atoms:
Se 0.374 0.374 0.374
Se 0.374 0.878 0.374
Se 0.374 0.374 0.878
Se 0.878 0.374 0.374
Tc 0.750 0.750 0.750
Pt 0.000 0.000 0.000

---

No. 10
Here is a relaxed structure of Tc4PtSe from the Alexandria database. Energies are from PBE.

Output
Calculated total energy ... -47.3 eV/f.u.
Uncorrected formation energy ... 0.61 eV/atom
D(E_F) ... 6.7 states/eV/f.u.
M_tot ... 0.00 μB per cell

a = 5.161 Å, b = 5.161 Å, c = 5.161 Å
α = 60.00°, β = 60.00°, γ = 60.00°
Fractional coordinates of all 6 atoms:
Tc 0.623 0.623 0.130
Tc 0.130 0.623 0.623
Tc 0.623 0.130 0.623
Tc 0.623 0.623 0.623
Pt 0.250 0.250 0.250
Se 0.000 0.000 0.000

---

No. 11
Here is a relaxed structure of TcPtSe2 from the Alexandria database. Energies are from PBE.

Output
Calculated total energy ... -22.0 eV/f.u.
Uncorrected formation energy ... 0.35 eV/atom
D(E_F) ... 3.6 states/eV/f.u.
M_tot ... 1.12 μB per cell
E above lowest polymorph ... 12.00 kcal/mol of atoms

a = 4.537 Å, b = 4.537 Å, c = 4.537 Å
α = 60.00°, β = 60.00°, γ = 60.00°
Fractional coordinates of all 4 atoms:
Se 0.750 0.750 0.750
Se 0.250 0.250 0.250
Pt 0.500 0.500 0.500
Tc 0.000 0.000 0.000

---

No. 12
Here is a relaxed structure of TcPtSe2 from the Alexandria database. Energies are from PBE.

Output
Calculated total energy ... -22.7 eV/f.u.
Uncorrected formation energy ... 0.16 eV/atom
D(E_F) ... 4.8 states/eV/f.u.
M_tot ... 0.00 μB per cell
E above lowest polymorph ... 7.69 kcal/mol of atoms

a = 6.488 Å, b = 6.488 Å, c = 6.488 Å
α = 153.86°, β = 138.22°, γ = 49.95°
Fractional coordinates of all 4 atoms:
Se 0.580 0.580 0.000
Se 0.920 0.920 0.000
Tc 0.750 0.250 0.500
Pt 0.250 0.750 0.500

---

No. 13
Here is a relaxed structure of TcPtSe3 from the Alexandria database. Energies are from PBE.

Output
Calculated total energy ... -22.9 eV/f.u.
Uncorrected formation energy ... 0.80 eV/atom
D(E_F) ... 5.0 states/eV/f.u.
M_tot ... 0.00 μB per cell
E above lowest polymorph ... 0.00 kcal/mol of atoms

a = 4.811 Å, b = 4.811 Å, c = 4.811 Å
α = 90.00°, β = 90.00°, γ = 90.00°
Fractional coordinates of all 5 atoms:
Pt 0.500 0.500 0.500
Se 0.000 0.500 0.000
Se 0.000 0.000 0.500
Se 0.500 0.000 0.000
Tc 0.000 0.000 0.000

---

No. 14
Here is a relaxed structure of TcPtSe2 from the Alexandria database. Energies are from PBE.

Output
Calculated total energy ... -23.2 eV/f.u.
Uncorrected formation energy ... 0.03 eV/atom
D(E_F) ... 3.9 states/eV/f.u.
M_tot ... 0.00 μB per cell
E above lowest polymorph ... 4.78 kcal/mol of atoms

a = 9.752 Å, b = 9.752 Å, c = 9.752 Å
α = 18.43°, β = 18.43°, γ = 18.43°
Fractional coordinates of all 4 atoms:
Tc 0.499 0.499 0.499
Pt 0.753 0.753 0.753
Se 0.024 0.024 0.024
Se 0.223 0.223 0.223

---

No. 15
Here is a relaxed structure of TcPtSe2 from the Alexandria database. Energies are from PBE.

Output
Calculated total energy ... -23.4 eV/f.u.
Uncorrected formation energy ... 0.00 eV/atom
D(E_F) ... 2.1 states/eV/f.u.
M_tot ... 0.00 μB per cell
E above lowest polymorph ... 4.00 kcal/mol of atoms

a = 8.527 Å, b = 8.527 Å, c = 8.527 Å
α = 21.49°, β = 21.49°, γ = 21.49°
Fractional coordinates of all 4 atoms:
Tc 0.500 0.500 0.500
Pt 0.000 0.000 0.000
Se 0.097 0.097 0.097
Se 0.903 0.903 0.903

---

No. 16
Here is a relaxed structure of TcPt2Se from the Alexandria database. Energies are from PBE.

Output
Calculated total energy ... -25.4 eV/f.u.
Uncorrected formation energy ... 0.14 eV/atom
D(E_F) ... 2.8 states/eV/f.u.
M_tot ... 0.00 μB per cell

a = 4.815 Å, b = 4.815 Å, c = 5.165 Å
α = 79.61°, β = 79.61°, γ = 35.23°
Fractional coordinates of all 4 atoms:
Pt 0.735 0.735 0.779
Pt 0.980 0.980 0.016
Tc 0.236 0.236 0.220
Se 0.549 0.549 0.485

---

No. 17
Here is a relaxed structure of TcPtSe2 from the Alexandria database. Energies are from PBE.

Output
Calculated total energy ... -22.0 eV/f.u.
Uncorrected formation energy ... 0.34 eV/atom
D(E_F) ... 4.2 states/eV/f.u.
M_tot ... 0.00 μB per cell
E above lowest polymorph ... 11.89 kcal/mol of atoms

a = 4.668 Å, b = 4.668 Å, c = 4.668 Å
α = 125.21°, β = 125.21°, γ = 81.18°
Fractional coordinates of all 4 atoms:
Se 0.000 0.000 0.000
Se 0.500 0.500 0.000
Tc 0.250 0.750 0.500
Pt 0.750 0.250 0.500

---

No. 18
Here is a relaxed structure of TcPtSe4 from the Alexandria database. Energies are from PBE.

Output
Calculated total energy ... -31.7 eV/f.u.
Uncorrected formation energy ... -0.23 eV/atom
D(E_F) ... 4.4 states/eV/f.u.
M_tot ... 0.02 μB per cell
E above lowest polymorph ... 0.00 kcal/mol of atoms

a = 3.484 Å, b = 6.720 Å, c = 6.680 Å
α = 120.78°, β = 89.98°, γ = 105.05°
Fractional coordinates of all 6 atoms:
Tc 0.500 0.000 0.500
Se 0.625 0.250 0.945
Se 0.128 0.254 0.451
Se 0.872 0.746 0.549
Se 0.375 0.750 0.055
Pt 0.000 0.000 0.000

---

No. 19
Here is a relaxed structure of TcPtSe2 from the Alexandria database. Energies are from PBE.

Output
Calculated total energy ... -24.1 eV/f.u.
Uncorrected formation energy ... -0.17 eV/atom
D(E_F) ... 2.2 states/eV/f.u.
M_tot ... 0.00 μB per cell
E above lowest polymorph ... 0.00 kcal/mol of atoms

a = 4.013 Å, b = 4.012 Å, c = 5.764 Å
α = 90.24°, β = 90.00°, γ = 90.00°
Fractional coordinates of all 4 atoms:
Se 0.500 0.374 0.368
Se 0.000 0.876 0.882
Tc 0.000 0.375 0.625
Pt 0.500 0.875 0.625

---

No. 20
Here is a relaxed structure of TcPtSe2 from the Alexandria database. Energies are from PBE.

Output
Calculated total energy ... -22.6 eV/f.u.
Uncorrected formation energy ... 0.18 eV/atom
D(E_F) ... 3.3 states/eV/f.u.
M_tot ... 0.00 μB per cell
E above lowest polymorph ... 8.21 kcal/mol of atoms

a = 3.151 Å, b = 3.151 Å, c = 6.575 Å
α = 90.00°, β = 90.00°, γ = 90.00°
Fractional coordinates of all 4 atoms:
Pt 0.500 0.500 0.750
Tc 0.500 0.500 0.250
Se 0.000 0.000 0.017
Se 0.000 0.000 0.483